CePr3Er2S6 after structural relaxation, computed with PBE.

Calculated values
- Total DFT energy (no corrections): -6.523 eV/atom
- Symmetry: C2/m, No. 12
- V: 274.0 Å³ per cell
- Total moment: 0.60 Bohr magnetons per cell
- ΔE_f (raw): -2.0092 eV/atom

Cell: 6.920 6.920 7.009 Å, 99.51 99.51 120.10°
Positions (direct):
Ce1 0.000 0.000 0.000
Pr1 0.165 0.835 0.500
Pr2 0.500 0.500 0.500
Pr3 0.835 0.165 0.500
Er1 0.333 0.667 0.000
Er2 0.667 0.333 0.000
S1 0.078 0.419 0.233
S2 0.264 0.264 0.769
S3 0.419 0.078 0.233
S4 0.581 0.922 0.767
S5 0.736 0.736 0.231
S6 0.922 0.581 0.767